## FePRu3 (PBE)

Data for crystalline FePRu3 at its relaxed geometry.

Structure (extended XYZ):
```
5
Lattice="4.378 0.000 0.000 0.000 4.378 0.000 0.000 0.000 4.378" Properties=species:S:1:pos:R:3 pbc="T T T"
Fe 0.000 0.000 0.000
P 2.189 2.189 2.189
Ru 0.000 2.189 0.000
Ru 2.189 0.000 0.000
Ru 0.000 0.000 2.189
```

Output
N(E_F) ... 7.0 states/eV/f.u.
V ... 16.8 A^3/atom
Formation enthalpy at 0 K ... 1.50 eV/atom
SG ... Pm-3m (221)
Excess energy over the best structure of this formula in the dataset ... 3.33 eV per formula unit